# Ac2Nd2In PBE relaxed
data_Ac2Nd2In
_cell_length_a 8.861
_cell_length_b 10.361
_cell_length_c 8.963
_cell_angle_alpha 90.00
_cell_angle_beta 115.15
_cell_angle_gamma 90.00
_space_group_name_H-M_alt 'C 1 2/m 1'
_space_group_IT_number 12
loop_
_space_group_symop_operation_xyz
'x,y,z'
'-x,-y,-z'
'-x,y,-z'
'x,-y,z'
'x+1/2,y+1/2,z'
'-x+1/2,-y+1/2,-z'
'-x+1/2,y+1/2,-z'
'x+1/2,-y+1/2,z'
loop_
_atom_site_label
_atom_site_type_symbol
_atom_site_fract_x
_atom_site_fract_y
_atom_site_fract_z
_atom_site_occupancy
Ac1 Ac 0.074 0.188 0.223 1
Nd1 Nd 0.146 0.500 0.913 1
Nd2 Nd 0.221 0.000 0.621 1
In1 In 0.000 0.353 0.500 1
# - energy above the lowest structure with this stoichiometry (kJ/mol of formula units) = 37
# - formation energy (kJ/mol of formula units) = -38.1